CeBe17Co: relaxed, PBE-GGA.

## Properties
ΔH_f (0 K), eV/atom: 0.02
DOS at the Fermi energy, states/eV/f.u.: 7.4
Mass density, g/cm³: 3.2
Total moment, μB/f.u.: 0.0
Space-group type: No. 160

Unit cell a=5.688 b=5.688 c=5.688 alpha=83.27 beta=83.27 gamma=83.27
Fractional coordinates of all 19 atoms:
Ce 0.345 0.345 0.345
Be 0.295 0.988 0.711
Be 0.711 0.295 0.988
Be 0.988 0.711 0.295
Be 0.295 0.711 0.988
Be 0.988 0.295 0.711
Be 0.711 0.988 0.295
Be 0.346 0.841 0.346
Be 0.346 0.346 0.841
Be 0.841 0.346 0.346
Be 0.662 0.121 0.662
Be 0.662 0.662 0.121
Be 0.121 0.662 0.662
Be 0.005 0.493 0.005
Be 0.005 0.005 0.493
Be 0.493 0.005 0.005
Be 0.900 0.900 0.900
Be 0.094 0.094 0.094
Co 0.690 0.690 0.690

Ce2Be3CoGe4: relaxed, PBE-GGA.

## Properties
ΔH_f (0 K), eV/atom: -0.43
DOS at the Fermi energy, states/eV/f.u.: 6.5
Mass density, g/cm³: 6.8
Total moment, μB/f.u.: 0.0
Space-group type: No. 115

Unit cell a=4.114 b=4.114 c=9.429 alpha=90.00 beta=90.00 gamma=90.00
Fractional coordinates of all 10 atoms:
Ce 0.500 0.000 0.258
Ce 0.000 0.500 0.742
Be 0.000 0.000 0.500
Be 0.500 0.000 0.871
Be 0.000 0.500 0.129
Co 0.500 0.500 0.500
Ge 0.500 0.500 0.000
Ge 0.000 0.000 0.000
Ge 0.500 0.000 0.628
Ge 0.000 0.500 0.372

CeBe2CoH8: relaxed, PBE-GGA.

## Properties
DOS at the Fermi energy, states/eV/f.u.: 7.0
Mass density, g/cm³: 4.3
Total moment, μB/f.u.: 2.8
DFT total energy, Ry per atom: -0.30145
Space-group type: No. 148

Unit cell a=4.151 b=4.151 c=6.304 alpha=70.78 beta=70.78 gamma=60.00
Each line ends with the local moment (μB).
Fractional coordinates of all 12 atoms:
Ce 0.500 0.500 0.500  1.12
Be 0.276 0.276 0.173  0.04
Be 0.724 0.724 0.827  0.04
Co 0.000 0.000 0.000  1.22
H 0.187 0.187 0.439  0.00
H 0.635 0.274 0.169  0.01
H 0.813 0.813 0.561  0.00
H 0.922 0.635 0.169  0.01
H 0.078 0.365 0.831  0.01
H 0.274 0.922 0.169  0.01
H 0.726 0.078 0.831  0.01
H 0.365 0.726 0.831  0.01